(1)
# TbY6Ni3

A geometry-optimized TbY6Ni3 structure (PBE, Alexandria).

Cell: 11.011 13.097 7.085 Å, 90.00 90.00 90.00°
Space group Cmc2_1 (No. 36)
Unique sites:
Tb: 0.000 0.179 0.000 x4
Y: 0.000 0.275 0.541 x4
Y: 0.000 0.467 0.890 x4
Y: 0.167 0.037 0.378 x8
Y: 0.227 0.308 0.230 x8
Ni: 0.000 0.084 0.671 x4
Ni: 0.195 0.394 0.596 x8

Computed properties:
Energy of formation from the pure elements ... -2.2 eV per formula unit



(2)
# AsOsSe2O

A geometry-optimized AsOsSe2O structure (PBE, Alexandria).

Cell: 4.792 4.792 4.838 Å, 90.00 90.00 90.00°
Space group P4/mmm (No. 123)
Unique sites:
As: 0.000 0.000 0.000 x1
Os: 0.000 0.000 0.500 x1
Se: 0.000 0.500 0.500 x2
O: 0.500 0.500 0.000 x1

Computed properties:
Uncorrected formation energy ... 1071 meV per atom
Excess energy over the best structure of this formula in the dataset ... 165 meV per atom



(3)
# NdDy3Bi3

A geometry-optimized NdDy3Bi3 structure (PBE, Alexandria).

Cell: 9.2406 9.2406 18.8778 Å, 90.00 90.00 120.00°
Space group R-3 (No. 148, hexagonal axes)
Unique sites:
Nd: 0.0000 0.0000 0.1660 x6
Dy: 0.0010 0.2613 0.5820 x18
Bi: 0.0022 0.3854 0.4150 x18

Computed properties:
Energy of formation from the pure elements ... -4.6 eV per formula unit



(4)
# YZnSi2

A geometry-optimized YZnSi2 structure (PBE, Alexandria).

Cell: 5.655 5.673 9.042 Å, 90.00 90.00 90.00°
Space group Fmmm (No. 69)
Unique sites:
Y: 0.000 0.000 0.000 x4
Zn: 0.000 0.000 0.500 x4
Si: 0.250 0.250 0.250 x8

Computed properties:
Uncorrected formation energy ... -232 meV per atom